# LaAlSiAg2

A PBEsol-optimized structure of LaAlSiAg2 (meta-GGA SCAN, Alexandria via LeMat-Bulk).

Values from the calculation:
formation energy from raw total energies	1.3171	eV/atom

Geometry as POSCAR:
```
LaAlSiAg2
1.0
5.547 0.000 0.000
0.000 5.547 0.000
0.000 0.000 5.416
La Al Si Ag
1 1 1 2
Direct
0.000 0.000 0.000
0.500 0.500 0.500
0.000 0.000 0.500
0.000 0.500 0.000
0.500 0.000 0.000
```